(a)
## LiPuRh (PBE)

Data for a relaxed structure of LiPuRh.

Unit cell a=5.3988 b=5.3988 c=3.9708 alpha=111.46 beta=111.46 gamma=99.14
Closest atoms and distances in Å follow each position.
Element x y z (fractional)
Li: 0.0630 0.9370 0.7500  2 Li 2.24
Li: 0.9370 0.0630 0.2500  2 Li 2.24
Pu: 0.4187 0.5813 0.7500  2 Pu 2.39
Pu: 0.5813 0.4187 0.2500  2 Pu 2.39
Rh: 0.0000 0.5000 0.0000  6 Pu 2.82-3.08, 2 Rh 2.89, 6 Li 2.89-2.95
Rh: 0.5000 0.0000 0.5000  6 Pu 2.82-3.08, 2 Rh 2.89, 6 Li 2.89-2.95

volume: 15.7 Å³ per atom
total magnetic moment: 2.83 μB per cell
space-group type: C2/c
theoretical density: 12456 kg/m³

(b)
## LiPuRh (PBE)

Data for a relaxed structure of LiPuRh.

Unit cell a=4.5171 b=4.5171 c=3.0746 alpha=90.00 beta=90.00 gamma=120.00
Closest atoms and distances in Å follow each position.
Element x y z (fractional)
Li: 0.0000 0.0000 0.0000  3 Rh 2.63
Pu: 0.3333 0.6667 0.5333  6 Rh 2.91-3.16, 6 Li 2.98-3.08, 2 Pu 3.07
Rh: 0.6667 0.3333 0.1156  3 Li 2.63, 3 Pu 2.91

volume: 18.1 Å³ per atom
total magnetic moment: 5.65 μB per cell
space-group type: P3m1
theoretical density: 10815 kg/m³

(c)
## LiPuRh (PBE)

Data for a relaxed structure of LiPuRh.

Unit cell a=3.8514 b=3.8514 c=7.7333 alpha=90.00 beta=90.00 gamma=90.00
Closest atoms and distances in Å follow each position.
Element x y z (fractional)
Li: 0.2500 0.7500 0.0000  4 Li 2.72, 4 Rh 2.84
Li: 0.7500 0.2500 0.0000  4 Li 2.72, 4 Rh 2.84
Pu: 0.2500 0.2500 0.3456  5 Rh 2.79-2.98
Pu: 0.7500 0.7500 0.6544  5 Rh 2.79-2.98
Rh: 0.2500 0.2500 0.7307  5 Pu 2.79-2.98, 4 Li 2.84
Rh: 0.7500 0.7500 0.2693  5 Pu 2.79-2.98, 4 Li 2.84

volume: 19.1 Å³ per atom
total magnetic moment: 10.14 μB per cell
space-group type: P4/nmm
theoretical density: 10245 kg/m³

(d)
## LiPuRh (PBE)

Data for a relaxed structure of LiPuRh.

Unit cell a=5.5298 b=5.5298 c=5.5298 alpha=145.04 beta=145.04 gamma=50.28
Closest atoms and distances in Å follow each position.
Element x y z (fractional)
Li: 0.0000 0.0000 0.0000  4 Rh 2.65, 1 Pu 2.90
Pu: 0.2894 0.2894 0.0000  4 Rh 2.88, 5 Li 2.90-3.16
Rh: 0.6230 0.6230 0.0000  4 Li 2.65, 4 Pu 2.88

volume: 18.4 Å³ per atom
total magnetic moment: 5.78 μB per cell
space-group type: I4mm
theoretical density: 10633 kg/m³

Quick one: most stable of them? (c)

(a)
## Li2PuS4 (PBE)

Data for a relaxed structure of Li2PuS4.

Unit cell a=7.4183 b=7.4183 c=7.4183 alpha=117.31 beta=114.40 gamma=97.35
Closest atoms and distances in Å follow each position.
Element x y z (fractional)
Li: 0.0000 0.0000 0.5000  6 S 2.61-2.62
Li: 0.0000 0.5000 0.0000  6 S 2.61-2.62
Li: 0.4026 0.1526 0.2500  4 S 2.46-2.55
Li: 0.5974 0.8474 0.7500  4 S 2.46-2.55
Pu: 0.0000 0.5000 0.5000  6 S 2.46-2.63
Pu: 0.5000 0.5000 0.0000  6 S 2.46-2.63
S: 0.2175 0.7495 0.4680  1 Pu 2.46, 3 Li 2.46-2.61
S: 0.2186 0.2505 0.9680  1 Pu 2.46, 3 Li 2.46-2.61
S: 0.2660 0.2967 0.5307  2 Li 2.55-2.62, 2 Pu 2.63
S: 0.2660 0.7352 0.9693  2 Li 2.55-2.62, 2 Pu 2.63
S: 0.7340 0.2648 0.0307  2 Li 2.55-2.62, 2 Pu 2.63
S: 0.7340 0.7033 0.4693  2 Li 2.55-2.62, 2 Pu 2.63
S: 0.7814 0.7495 0.0320  1 Pu 2.46, 3 Li 2.46-2.61
S: 0.7825 0.2505 0.5320  1 Pu 2.46, 3 Li 2.46-2.61

volume: 21.7 Å³ per atom
total magnetic moment: 3.99 μB per cell
space-group type: Imma
theoretical density: 4221 kg/m³

(b)
## Li2PuS4 (PBE)

Data for a relaxed structure of Li2PuS4.

Unit cell a=7.5903 b=7.5903 c=7.5903 alpha=97.12 beta=97.12 gamma=138.77
Closest atoms and distances in Å follow each position.
Element x y z (fractional)
Li: 0.0459 0.1250 0.4209  4 S 2.38-2.42
Li: 0.3750 0.9541 0.0791  4 S 2.38-2.42
Li: 0.7041 0.6250 0.5791  4 S 2.38-2.42
Li: 0.8750 0.2959 0.9209  4 S 2.38-2.42
Pu: 0.2500 0.7500 0.5000  8 S 2.75-3.03
Pu: 0.5000 0.5000 0.0000  8 S 2.75-3.03
S: 0.0893 0.8777 0.2554  2 Li 2.38-2.42, 1 S 2.49
S: 0.1223 0.3778 0.2116  2 Li 2.38-2.42, 1 S 2.49
S: 0.1278 0.3723 0.7116  2 Li 2.38-2.42, 1 S 2.49
S: 0.1662 0.9107 0.7884  2 Li 2.38-2.42, 1 S 2.49
S: 0.5838 0.8722 0.2446  2 Li 2.38-2.42, 1 S 2.49
S: 0.6222 0.8338 0.7446  2 Li 2.38-2.42, 1 S 2.49
S: 0.6277 0.3393 0.7554  2 Li 2.38-2.42, 1 S 2.49
S: 0.6607 0.4162 0.2884  2 Li 2.38-2.42, 1 S 2.49

volume: 19.3 Å³ per atom
total magnetic moment: 8.76 μB per cell
space-group type: I-42d
theoretical density: 4754 kg/m³

Quick one: most stable of them? (a)

(a)
## Li4Pu3S8 (PBE)

Data for a relaxed structure of Li4Pu3S8.

Unit cell a=7.5352 b=7.5352 c=7.5622 alpha=118.33 beta=118.33 gamma=92.21
Closest atoms and distances in Å follow each position.
Element x y z (fractional)
Li: 0.0000 0.0000 0.0000  6 S 2.70-2.81
Li: 0.0000 0.5000 0.0000  6 S 2.61-2.76
Li: 0.5000 0.0000 0.0000  6 S 2.61-2.76
Li: 0.5000 0.5000 0.5000  6 S 2.64-2.66
Pu: 0.0000 0.5000 0.5000  6 S 2.61-2.76
Pu: 0.5000 0.0000 0.5000  6 S 2.61-2.76
Pu: 0.5000 0.5000 0.0000  6 S 2.50-2.73
S: 0.2489 0.7511 0.0000  3 Li 2.61-2.70, 3 Pu 2.73-2.76
S: 0.2506 0.2506 0.5091  2 Li 2.65-2.81, 3 Pu 2.71-2.72
S: 0.2570 0.7430 0.5000  2 Pu 2.61, 3 Li 2.64-2.76
S: 0.2698 0.2698 0.0180  1 Pu 2.50, 4 Li 2.66-2.73
S: 0.7302 0.7302 0.9820  1 Pu 2.50, 4 Li 2.66-2.73
S: 0.7430 0.2570 0.5000  2 Pu 2.61, 3 Li 2.64-2.76
S: 0.7494 0.7494 0.4909  2 Li 2.65-2.81, 3 Pu 2.71-2.72
S: 0.7511 0.2489 0.0000  3 Li 2.61-2.70, 3 Pu 2.73-2.76

volume: 20.9 Å³ per atom
total magnetic moment: 12.00 μB per cell
space-group type: C2/m
theoretical density: 5396 kg/m³

(b)
## Li4Pu3S8 (PBE)

Data for a relaxed structure of Li4Pu3S8.

Unit cell a=7.8848 b=7.8848 c=7.8848 alpha=59.47 beta=59.47 gamma=59.47
Closest atoms and distances in Å follow each position.
Element x y z (fractional)
Li: 0.0000 0.0000 0.0000  2 Li 2.64, 6 S 2.73
Li: 0.1360 0.1360 0.1360  4 S 2.39-2.59, 1 Li 2.64
Li: 0.5000 0.5000 0.5000  6 S 2.83
Li: 0.8640 0.8640 0.8640  4 S 2.39-2.59, 1 Li 2.64
Pu: 0.0000 0.5000 0.5000  6 S 2.67-2.68
Pu: 0.5000 0.0000 0.5000  6 S 2.67-2.68
Pu: 0.5000 0.5000 0.0000  6 S 2.67-2.68
S: 0.2456 0.2456 0.7350  3 Li 2.59-2.83, 2 Pu 2.67
S: 0.2456 0.7350 0.2456  3 Li 2.59-2.83, 2 Pu 2.67
S: 0.2592 0.2592 0.2592  1 Li 2.39
S: 0.2650 0.7544 0.7544  3 Li 2.59-2.83, 2 Pu 2.67
S: 0.7350 0.2456 0.2456  3 Li 2.59-2.83, 2 Pu 2.67
S: 0.7408 0.7408 0.7408  1 Li 2.39
S: 0.7544 0.2650 0.7544  3 Li 2.59-2.83, 2 Pu 2.67
S: 0.7544 0.7544 0.2650  3 Li 2.59-2.83, 2 Pu 2.67

volume: 22.8 Å³ per atom
total magnetic moment: 12.00 μB per cell
space-group type: R-3m
theoretical density: 4928 kg/m³

Quick one: most stable of them? (b)

(a)
## LiPuSb (PBE)

Data for a relaxed structure of LiPuSb.

Unit cell a=5.0134 b=5.0134 c=5.0134 alpha=60.00 beta=60.00 gamma=60.00
Closest atoms and distances in Å follow each position.
Element x y z (fractional)
Li: 0.0000 0.0000 0.0000  4 Sb 3.07
Pu: 0.5000 0.5000 0.5000  4 Sb 3.07
Sb: 0.7500 0.7500 0.7500  4 Pu 3.07, 4 Li 3.07

volume: 29.7 Å³ per atom
total magnetic moment: 6.00 μB per cell
space-group type: F-43m
theoretical density: 6946 kg/m³

(b)
## LiPuSb (PBE)

Data for a relaxed structure of LiPuSb.

Unit cell a=5.3249 b=5.3249 c=5.3249 alpha=134.12 beta=134.12 gamma=66.90
Closest atoms and distances in Å follow each position.
Element x y z (fractional)
Li: 0.0000 0.0000 0.0000  1 Sb 2.84, 1 Pu 2.92
Pu: 0.6718 0.6718 0.0000  1 Li 2.92, 5 Sb 3.13-3.22
Sb: 0.3195 0.3195 0.0000  1 Li 2.84, 1 Pu 3.13

volume: 25.5 Å³ per atom
total magnetic moment: 6.00 μB per cell
space-group type: I4mm
theoretical density: 8085 kg/m³

Quick one: most stable of them? (a)

(a)
## LiPuSb (PBE)

Data for a relaxed structure of LiPuSb.

Unit cell a=3.5909 b=3.5909 c=9.3347 alpha=93.09 beta=93.09 gamma=81.17
Closest atoms and distances in Å follow each position.
Element x y z (fractional)
Li: 0.2350 0.2350 0.4183  4 Sb 2.71-3.04, 2 Li 2.79
Li: 0.7650 0.7650 0.5817  4 Sb 2.71-3.04, 2 Li 2.79
Pu: 0.2015 0.2015 0.0470  3 Pu 2.31-2.56
Pu: 0.7985 0.7985 0.9530  3 Pu 2.31-2.56
Sb: 0.2789 0.2789 0.7299  4 Li 2.71-3.04, 1 Pu 3.02
Sb: 0.7211 0.7211 0.2701  4 Li 2.71-3.04, 1 Pu 3.02

volume: 19.8 Å³ per atom
total magnetic moment: 0.00 μB per cell
space-group type: C2/m
theoretical density: 10433 kg/m³

(b)
## LiPuSb (PBE)

Data for a relaxed structure of LiPuSb.

Unit cell a=4.5326 b=4.5326 c=4.0642 alpha=90.00 beta=90.00 gamma=120.00
Closest atoms and distances in Å follow each position.
Element x y z (fractional)
Li: 0.0000 0.0000 0.0000  3 Sb 2.62
Pu: 0.3333 0.6667 0.5000  6 Li 3.31, 6 Sb 3.31
Sb: 0.6667 0.3333 0.0000  3 Li 2.62

volume: 24.1 Å³ per atom
total magnetic moment: 6.00 μB per cell
space-group type: P-6m2
theoretical density: 8559 kg/m³

Quick one: most stable of them? (b)

(a)
## LiPu2Se4 (PBE)

Data for a relaxed structure of LiPu2Se4.

Unit cell a=7.6834 b=7.6834 c=7.1961 alpha=117.47 beta=117.47 gamma=31.11
Closest atoms and distances in Å follow each position.
Element x y z (fractional)
Li: 0.0000 0.0000 0.0000  6 Se 2.79-2.90
Pu: 0.2655 0.2655 0.2687  6 Se 2.83-2.87
Pu: 0.7345 0.7345 0.7313  6 Se 2.83-2.87
Se: 0.1265 0.1265 0.4380  1 Li 2.79, 3 Pu 2.83-2.85
Se: 0.3643 0.3643 0.0094  3 Pu 2.87, 2 Li 2.90
Se: 0.6357 0.6357 0.9906  3 Pu 2.87, 2 Li 2.90
Se: 0.8735 0.8735 0.5620  1 Li 2.79, 3 Pu 2.83-2.85

volume: 27.5 Å³ per atom
total magnetic moment: 9.00 μB per cell
space-group type: C2/m
theoretical density: 6987 kg/m³

(b)
## LiPu2Se4 (PBE)

Data for a relaxed structure of LiPu2Se4.

Unit cell a=7.4653 b=7.4653 c=7.4653 alpha=110.55 beta=110.55 gamma=107.33
Closest atoms and distances in Å follow each position.
Element x y z (fractional)
Li: 0.0000 0.0000 0.0000  4 Se 2.81
Li: 0.7500 0.2500 0.5000  4 Se 2.81
Pu: 0.2430 0.6250 0.1180  8 Se 2.85-3.13
Pu: 0.3750 0.4930 0.6180  8 Se 2.85-3.13
Pu: 0.5070 0.1250 0.8820  8 Se 2.85-3.13
Pu: 0.8750 0.7570 0.3820  8 Se 2.85-3.13
Se: 0.1248 0.2351 0.7416  1 Li 2.81, 4 Pu 2.85-3.13
Se: 0.1332 0.7435 0.7584  1 Li 2.81, 4 Pu 2.85-3.13
Se: 0.2565 0.0149 0.3897  1 Li 2.81, 4 Pu 2.85-3.13
Se: 0.4935 0.3832 0.2584  1 Li 2.81, 4 Pu 2.85-3.13
Se: 0.6168 0.8752 0.1103  1 Li 2.81, 4 Pu 2.85-3.13
Se: 0.6252 0.8668 0.6103  1 Li 2.81, 4 Pu 2.85-3.13
Se: 0.7649 0.5065 0.8897  1 Li 2.81, 4 Pu 2.85-3.13
Se: 0.9851 0.3748 0.2416  1 Li 2.81, 4 Pu 2.85-3.13

volume: 22.9 Å³ per atom
total magnetic moment: 17.99 μB per cell
space-group type: I-42d
theoretical density: 8416 kg/m³

Quick one: most stable of them? (b)